A plane-wave DFT calculation with PBE-GGA was carried out for a relaxed structure of Sm12Rh6Pb.

Cell: 10.114 10.114 10.114 Å, 90.00 90.00 90.00°
Space group Im-3 (No. 204)
Symmetry-distinct sites (fractional):
1 Sm 0.000 0.304 0.188 (multiplicity 24)
2 Rh 0.000 0.130 0.500 (multiplicity 12)
3 Pb 0.000 0.000 0.000 (multiplicity 2)

Properties
DOS at the Fermi energy ... 0.820 states/eV/atom
Magnetization ... 0.0 μB per formula unit
Formation energy ... -0.561 eV per atom
Final energy ... -6.06 eV/atom